[1]
# Rb2NpZn2S4

An optimized crystal structure of Rb2NpZn2S4 (PBE, Alexandria via LeMat-Bulk).

* Fermi-level density of states: 19.101 states/eV per cell
* formation energy (no corrections): -91.4 kJ/mol of atoms

a = 15.1127 Å, b = 4.1007 Å, c = 7.9099 Å
α = 90.00°, β = 108.34°, γ = 90.00°
Space group C2/m (No. 12)
Unique sites:
Rb 0.1299 0.0000 0.0503 (multiplicity 4)
Np 0.0000 0.0000 0.5000 (multiplicity 2)
Zn 0.1701 0.5000 0.4838 (multiplicity 4)
S 0.0215 0.5000 0.2689 (multiplicity 4)
S 0.2049 0.0000 0.6584 (multiplicity 4)

[2]
# AlCoCl

An optimized crystal structure of AlCoCl (PBE, Alexandria via LeMat-Bulk).

* Fermi-level density of states: 2.229 states/eV per cell
* formation energy (no corrections): 21.0 kJ/mol of atoms

a = 4.0530 Å, b = 4.0530 Å, c = 3.0109 Å
α = 90.00°, β = 90.00°, γ = 120.00°
Space group P-6m2 (No. 187)
Unique sites:
Al 0.0000 0.0000 0.0000 (multiplicity 1)
Co 0.3333 0.6667 0.5000 (multiplicity 1)
Cl 0.6667 0.3333 0.5000 (multiplicity 1)

[3]
# KTlBi

An optimized crystal structure of KTlBi (PBE, Alexandria via LeMat-Bulk).

* energy of formation: -0.133 eV/atom
* Fermi-level density of states: 5.993 states/eV per cell

a = 7.7583 Å, b = 7.7583 Å, c = 7.7583 Å
α = 90.00°, β = 90.00°, γ = 90.00°
Space group F-43m (No. 216)
Unique sites:
K 0.0000 0.0000 0.0000 (multiplicity 4)
Tl 0.2500 0.2500 0.2500 (multiplicity 4)
Bi 0.0000 0.0000 0.5000 (multiplicity 4)

Calculated theoretical density, 4.8, 4.7, 6.4 g/cm³ (same order as the records).